# 1
# MnPdSeN2

A relaxed MnPdSeN2 crystal (PBE, Alexandria via LeMat-Bulk).

It has space group P4/mmm (No. 123), with a = 3.5833 Å, b = 3.5833 Å, c = 5.4371 Å, α = 90.00°, β = 90.00° and γ = 90.00°. The asymmetric unit holds Mn at (0.0000, 0.0000, 0.0000), Pd at (0.5000, 0.5000, 0.5000), Se at (0.0000, 0.0000, 0.5000) and N at (0.0000, 0.5000, 0.0000).

For the density of states at the Fermi level, the calculation gives 4.82 states/eV per cell. For the relative energy among the computed polymorphs, the calculation gives 0.000 eV/atom. The crystal system is tetragonal.

# 2
# TmSc3Hg2

A relaxed TmSc3Hg2 crystal (PBE, Alexandria via LeMat-Bulk).

It has space group Pmc2_1 (No. 26), with a = 4.8790 Å, b = 8.6810 Å, c = 6.6920 Å, α = 90.00°, β = 90.00° and γ = 90.00°. The asymmetric unit holds Tm at (0.0000, 0.0486, 0.0000), Sc at (0.0000, 0.3299, 0.6650), Sc at (0.5000, 0.1806, 0.3086), Sc at (0.5000, 0.4520, 0.9718), Hg at (0.0000, 0.3496, 0.2313) and Hg at (0.5000, 0.1541, 0.7424).

For the density of states at the Fermi level, the calculation gives 4.09 states/eV per cell. The value obtained for the formation enthalpy at 0 K is -355 meV/atom. The crystal system is orthorhombic.

What did the second record say?
# TmSc3Hg2

A relaxed TmSc3Hg2 crystal (PBE, Alexandria via LeMat-Bulk).

It has space group Pmc2_1 (No. 26), with a = 4.8790 Å, b = 8.6810 Å, c = 6.6920 Å, α = 90.00°, β = 90.00° and γ = 90.00°. The asymmetric unit holds Tm at (0.0000, 0.0486, 0.0000), Sc at (0.0000, 0.3299, 0.6650), Sc at (0.5000, 0.1806, 0.3086), Sc at (0.5000, 0.4520, 0.9718), Hg at (0.0000, 0.3496, 0.2313) and Hg at (0.5000, 0.1541, 0.7424).

For the density of states at the Fermi level, the calculation gives 4.09 states/eV per cell. The value obtained for the formation enthalpy at 0 K is -355 meV/atom. The crystal system is orthorhombic.

Q: What is the formula in the first record?
A: MnPdSeN2